## Cd3Ni (GGA-PBE)

Data for a relaxed structure of Cd3Ni.

Cell: 6.836 6.836 7.041 Å, 90.00 90.00 90.00°
Sites, in units of the cell vectors:
Cd1 0.000 0.500 0.000
Cd2 0.000 0.500 0.500
Cd3 0.161 0.161 0.239
Cd4 0.161 0.161 0.761
Cd5 0.339 0.661 0.261
Cd6 0.339 0.661 0.739
Cd7 0.500 0.000 0.000
Cd8 0.500 0.000 0.500
Cd9 0.661 0.339 0.261
Cd10 0.661 0.339 0.739
Cd11 0.839 0.839 0.239
Cd12 0.839 0.839 0.761
Ni1 0.126 0.874 0.500
Ni2 0.374 0.374 0.000
Ni3 0.626 0.626 0.000
Ni4 0.874 0.126 0.500

Summary:
calculated total energy	-34.6	eV for the cell shown
theoretical density	8.0	g/cm³
energy of formation from the pure elements	-0.034	eV/atom